# MgAl3Bi

MgAl3Bi after structural relaxation (PBE, Alexandria).

Cell: 5.129 5.129 5.129 Å, 90.00 90.00 90.00°
Atoms (fractional coordinates):
Bi 0.500 0.500 0.500
Al 0.000 0.500 0.000
Al 0.500 0.000 0.000
Al 0.000 0.000 0.500
Mg 0.000 0.000 0.000

ρ: 3.87 Mg/m³
V: 26.98 A^3/atom
energy of formation from the pure elements: 0.741 eV/atom
D(E_F): 0.161 states/eV/atom